(1)
HfIrF3 | meta-GGA SCAN | single point on PBEsol structure

Cell and atoms, written as CIF:
```
data_HfIrF3
_cell_length_a 4.2268
_cell_length_b 4.2268
_cell_length_c 4.2268
_cell_angle_alpha 90.00
_cell_angle_beta 90.00
_cell_angle_gamma 90.00
_symmetry_space_group_name_H-M 'P m -3 m'
_symmetry_Int_Tables_number 221
_symmetry_space_group_name_Hall '-P 4 2 3'
loop_
_atom_site_label
_atom_site_type_symbol
_atom_site_fract_x
_atom_site_fract_y
_atom_site_fract_z
Hf1 Hf 0.0000 0.0000 0.0000
Ir1 Ir 0.5000 0.5000 0.5000
F1 F 0.0000 0.5000 0.5000
```

Computed properties:
Total magnetization: 2.0 μB/f.u.
Formation energy (no corrections): -170 meV/atom
Calculated total energy: -145.2 eV per cell

(2)
CaNi2Br | meta-GGA SCAN | single point on PBEsol structure

Cell and atoms, written as CIF:
```
data_CaNi2Br
_cell_length_a 3.6993
_cell_length_b 3.6993
_cell_length_c 5.5101
_cell_angle_alpha 90.00
_cell_angle_beta 90.00
_cell_angle_gamma 90.00
_symmetry_space_group_name_H-M 'P 4/m m m'
_symmetry_Int_Tables_number 123
_symmetry_space_group_name_Hall '-P 4 2'
loop_
_atom_site_label
_atom_site_type_symbol
_atom_site_fract_x
_atom_site_fract_y
_atom_site_fract_z
Ca1 Ca 0.0000 0.0000 0.0000
Ni1 Ni 0.5000 0.5000 0.2072
Br1 Br 0.0000 0.0000 0.5000
```

Computed properties:
Total magnetization: 1.0 μB/f.u.
Formation energy (no corrections): 142 meV/atom
E above lowest polymorph: 471 meV/atom
Calculated total energy: -60.9 eV per cell

(3)
MgAg2Au | meta-GGA SCAN | single point on PBEsol structure

Cell and atoms, written as CIF:
```
data_MgAg2Au
_cell_length_a 9.4828
_cell_length_b 3.0521
_cell_length_c 4.8430
_cell_angle_alpha 90.00
_cell_angle_beta 103.23
_cell_angle_gamma 90.00
_symmetry_space_group_name_H-M 'C 1 m 1'
_symmetry_Int_Tables_number 8
_symmetry_space_group_name_Hall 'C -2y'
loop_
_atom_site_label
_atom_site_type_symbol
_atom_site_fract_x
_atom_site_fract_y
_atom_site_fract_z
Mg1 Mg 0.0000 0.0000 0.0000
Ag1 Ag 0.0042 0.5000 0.5042
Ag2 Ag 0.2529 0.5000 0.2690
Au1 Au 0.2552 0.0000 0.7710
```

Computed properties:
Total magnetization: 0.0 μB/f.u.
Energy relative to the elements: -0.242 eV per atom
Calculated total energy: -275.7 eV per cell

(4)
SrSn2AsIr | meta-GGA SCAN | single point on PBEsol structure

Cell and atoms, written as CIF:
```
data_SrSn2AsIr
_cell_length_a 5.0993
_cell_length_b 5.0993
_cell_length_c 5.5158
_cell_angle_alpha 90.00
_cell_angle_beta 90.00
_cell_angle_gamma 90.00
_symmetry_space_group_name_H-M 'P 4/m m m'
_symmetry_Int_Tables_number 123
_symmetry_space_group_name_Hall '-P 4 2'
loop_
_atom_site_label
_atom_site_type_symbol
_atom_site_fract_x
_atom_site_fract_y
_atom_site_fract_z
Sr1 Sr 0.0000 0.0000 0.0000
Sn1 Sn 0.0000 0.5000 0.5000
As1 As 0.0000 0.0000 0.5000
Ir1 Ir 0.5000 0.5000 0.0000
```

Computed properties:
Total magnetization: 0.0 μB/f.u.
Energy relative to the elements: 0.842 eV per atom
Calculated total energy: -181.2 eV per cell

(5)
Ba8V7O22 | meta-GGA SCAN | single point on PBEsol structure

Cell and atoms, written as CIF:
```
data_Ba8V7O22
_cell_length_a 5.7505
_cell_length_b 5.7505
_cell_length_c 56.8779
_cell_angle_alpha 90.00
_cell_angle_beta 90.00
_cell_angle_gamma 120.00
_symmetry_space_group_name_H-M 'R -3 m'
_symmetry_Int_Tables_number 166
_symmetry_space_group_name_Hall '-R 3 2"'
loop_
_atom_site_label
_atom_site_type_symbol
_atom_site_fract_x
_atom_site_fract_y
_atom_site_fract_z
Ba1 Ba 0.0000 0.0000 0.1046
Ba2 Ba 0.0000 0.0000 0.1814
Ba3 Ba 0.0000 0.0000 0.3179
Ba4 Ba 0.0000 0.0000 0.3886
V1 V 0.0000 0.0000 0.0000
V2 V 0.0000 0.0000 0.0433
V3 V 0.0000 0.0000 0.2574
V4 V 0.0000 0.0000 0.4654
O1 O 0.0000 0.0000 0.2272
O2 O 0.0000 0.0000 0.4356
O3 O 0.0016 0.5008 0.3975
O4 O 0.0083 0.5041 0.1911
O5 O 0.0269 0.5135 0.6878
```

Computed properties:
Total magnetization: 5.1 μB/f.u.
Formation energy (no corrections): -3023 meV/atom
Calculated total energy: -2063.3 eV per cell

(6)
BaCoOs3 | meta-GGA SCAN | single point on PBEsol structure

Cell and atoms, written as CIF:
```
data_BaCoOs3
_cell_length_a 4.9120
_cell_length_b 4.9120
_cell_length_c 4.9120
_cell_angle_alpha 90.00
_cell_angle_beta 90.00
_cell_angle_gamma 90.00
_symmetry_space_group_name_H-M 'P m -3 m'
_symmetry_Int_Tables_number 221
_symmetry_space_group_name_Hall '-P 4 2 3'
loop_
_atom_site_label
_atom_site_type_symbol
_atom_site_fract_x
_atom_site_fract_y
_atom_site_fract_z
Ba1 Ba 0.0000 0.0000 0.0000
Co1 Co 0.5000 0.5000 0.5000
Os1 Os 0.0000 0.0000 0.5000
```

Computed properties:
Total magnetization: 6.6 μB/f.u.
Energy relative to the elements: 4.187 eV per atom
Calculated total energy: -251.6 eV per cell

(7)
K3VO4 | meta-GGA SCAN | single point on PBEsol structure

Cell and atoms, written as CIF:
```
data_K3VO4
_cell_length_a 8.2440
_cell_length_b 8.2440
_cell_length_c 8.2440
_cell_angle_alpha 90.00
_cell_angle_beta 90.00
_cell_angle_gamma 90.00
_symmetry_space_group_name_H-M 'P 21 3'
_symmetry_Int_Tables_number 198
_symmetry_space_group_name_Hall 'P 2ac 2ab 3'
loop_
_atom_site_label
_atom_site_type_symbol
_atom_site_fract_x
_atom_site_fract_y
_atom_site_fract_z
K1 K 0.0117 0.4883 0.5117
K2 K 0.0356 0.5356 0.9644
K3 K 0.2176 0.2176 0.2176
V1 V 0.2366 0.2634 0.7366
O1 O 0.0353 0.2445 0.7905
O2 O 0.1443 0.8557 0.3557
```

Computed properties:
Total magnetization: 0.0 μB/f.u.
Formation energy (no corrections): -2374 meV/atom
Calculated total energy: -345.6 eV per cell

(8)
CdFeIr2 | meta-GGA SCAN | single point on PBEsol structure

Cell and atoms, written as CIF:
```
data_CdFeIr2
_cell_length_a 9.0416
_cell_length_b 2.7580
_cell_length_c 4.7744
_cell_angle_alpha 90.00
_cell_angle_beta 100.38
_cell_angle_gamma 90.00
_symmetry_space_group_name_H-M 'C 1 m 1'
_symmetry_Int_Tables_number 8
_symmetry_space_group_name_Hall 'C -2y'
loop_
_atom_site_label
_atom_site_type_symbol
_atom_site_fract_x
_atom_site_fract_y
_atom_site_fract_z
Cd1 Cd 0.0000 0.0000 0.0000
Fe1 Fe 0.2583 0.5000 0.2568
Ir1 Ir 0.2398 0.0000 0.7056
Ir2 Ir 0.4978 0.0000 0.4954
```

Computed properties:
Total magnetization: 3.2 μB/f.u.
Energy relative to the elements: 0.147 eV per atom
Calculated total energy: -380.3 eV per cell

Which value of total magnetization does entry 6 give? 6.6 μB/f.u.

What did the fifth record say?
Ba8V7O22 | meta-GGA SCAN | single point on PBEsol structure

Cell and atoms, written as CIF:
```
data_Ba8V7O22
_cell_length_a 5.7505
_cell_length_b 5.7505
_cell_length_c 56.8779
_cell_angle_alpha 90.00
_cell_angle_beta 90.00
_cell_angle_gamma 120.00
_symmetry_space_group_name_H-M 'R -3 m'
_symmetry_Int_Tables_number 166
_symmetry_space_group_name_Hall '-R 3 2"'
loop_
_atom_site_label
_atom_site_type_symbol
_atom_site_fract_x
_atom_site_fract_y
_atom_site_fract_z
Ba1 Ba 0.0000 0.0000 0.1046
Ba2 Ba 0.0000 0.0000 0.1814
Ba3 Ba 0.0000 0.0000 0.3179
Ba4 Ba 0.0000 0.0000 0.3886
V1 V 0.0000 0.0000 0.0000
V2 V 0.0000 0.0000 0.0433
V3 V 0.0000 0.0000 0.2574
V4 V 0.0000 0.0000 0.4654
O1 O 0.0000 0.0000 0.2272
O2 O 0.0000 0.0000 0.4356
O3 O 0.0016 0.5008 0.3975
O4 O 0.0083 0.5041 0.1911
O5 O 0.0269 0.5135 0.6878
```

Computed properties:
Total magnetization: 5.1 μB/f.u.
Formation energy (no corrections): -3023 meV/atom
Calculated total energy: -2063.3 eV per cell

Copy entry 3 word for word.
MgAg2Au | meta-GGA SCAN | single point on PBEsol structure

Cell and atoms, written as CIF:
```
data_MgAg2Au
_cell_length_a 9.4828
_cell_length_b 3.0521
_cell_length_c 4.8430
_cell_angle_alpha 90.00
_cell_angle_beta 103.23
_cell_angle_gamma 90.00
_symmetry_space_group_name_H-M 'C 1 m 1'
_symmetry_Int_Tables_number 8
_symmetry_space_group_name_Hall 'C -2y'
loop_
_atom_site_label
_atom_site_type_symbol
_atom_site_fract_x
_atom_site_fract_y
_atom_site_fract_z
Mg1 Mg 0.0000 0.0000 0.0000
Ag1 Ag 0.0042 0.5000 0.5042
Ag2 Ag 0.2529 0.5000 0.2690
Au1 Au 0.2552 0.0000 0.7710
```

Computed properties:
Total magnetization: 0.0 μB/f.u.
Energy relative to the elements: -0.242 eV per atom
Calculated total energy: -275.7 eV per cell